No. 1
Entry from Alexandria: an optimized crystal structure of Rb2AsIrAu (PBE-GGA).

Values from the calculation:
**Raw total energy**: -14.71 eV/f.u.
**Total magnetization**: 2.28 Bohr magnetons per cell

a b c (Å): 6.7876 4.6777 6.7876
angles (deg): 90.00 90.00 90.00
Closest atoms and distances in Å follow each position.
Atoms (fractional coordinates):
As 0.0000 0.0000 0.0000  2 Au 2.34
Ir 0.5000 0.5000 0.5000  8 Rb 4.12
Au 0.0000 0.5000 0.0000  2 As 2.34
Rb 0.0000 0.0000 0.5000  2 As 3.39
Rb 0.5000 0.0000 0.0000  2 As 3.39

No. 2
Entry from Alexandria: an optimized crystal structure of Zn4CoCu3 (PBE-GGA).

Values from the calculation:
**Raw total energy**: -24.96 eV/f.u.
**Total magnetization**: 0.00 Bohr magnetons per cell

a b c (Å): 2.8319 2.8319 12.7327
angles (deg): 90.00 90.00 90.00
Closest atoms and distances in Å follow each position.
Atoms (fractional coordinates):
Zn 0.0000 0.0000 0.8841  4 Co 2.49, 4 Cu 2.58
Zn 0.0000 0.0000 0.1159  4 Co 2.49, 4 Cu 2.58
Zn 0.0000 0.0000 0.3720  8 Cu 2.58, 4 Zn 2.83
Zn 0.0000 0.0000 0.6280  8 Cu 2.58, 4 Zn 2.83
Co 0.5000 0.5000 0.0000  8 Zn 2.49
Cu 0.5000 0.5000 0.2437  8 Zn 2.58, 4 Cu 2.83
Cu 0.5000 0.5000 0.5000  8 Zn 2.58, 4 Cu 2.83
Cu 0.5000 0.5000 0.7563  8 Zn 2.58, 4 Cu 2.83

No. 3
Entry from Alexandria: an optimized crystal structure of LaZrNbB2 (PBE-GGA).

Values from the calculation:
**Raw total energy**: -26.65 eV/f.u.
**Total magnetization**: 0.00 Bohr magnetons per cell

a b c (Å): 4.5360 5.0893 4.5360
angles (deg): 90.00 90.00 90.00
Closest atoms and distances in Å follow each position.
Atoms (fractional coordinates):
Nb 0.0000 0.5000 0.0000  2 La 2.54
B 0.0000 0.0000 0.5000  2 La 2.27
B 0.5000 0.0000 0.0000  2 La 2.27
Zr 0.5000 0.5000 0.5000  4 Nb 3.21, 8 B 3.41
La 0.0000 0.0000 0.0000  4 B 2.27

No. 4
Entry from Alexandria: an optimized crystal structure of Cs2CeAsS4 (PBE-GGA).

Values from the calculation:
**Raw total energy**: -36.81 eV/f.u.
**Formation energy (no corrections)**: -1.00 eV/atom
**Total magnetization**: 1.03 Bohr magnetons per cell

a b c (Å): 7.3161 7.3161 7.3161
angles (deg): 97.62 115.70 115.70
Closest atoms and distances in Å follow each position.
Atoms (fractional coordinates):
Cs 0.5000 0.7500 0.2500  4 S 3.54
Cs 0.0000 0.0000 0.0000  4 S 3.54
Ce 0.5000 0.2500 0.7500  4 S 2.69
As 0.0000 0.5000 0.5000  4 S 2.48
S 0.6056 0.3716 0.4592  1 As 2.48, 1 Ce 2.69
S 0.0877 0.2340 0.6284  1 As 2.48, 1 Ce 2.69
S 0.9123 0.5408 0.1463  1 As 2.48, 1 Ce 2.69
S 0.3944 0.8537 0.7660  1 As 2.48, 1 Ce 2.69

No. 5
Entry from Alexandria: an optimized crystal structure of Cs2SrInSn2 (PBE-GGA).

Values from the calculation:
**Raw total energy**: -15.74 eV/f.u.
**Total magnetization**: 0.00 Bohr magnetons per cell

a b c (Å): 5.1371 8.5220 11.1719
angles (deg): 90.01 90.00 90.00
Closest atoms and distances in Å follow each position.
Atoms (fractional coordinates):
Cs 0.5000 0.0074 0.0864  2 Sn 3.67, 4 Cs 3.89-4.07
Cs 0.0000 0.3346 0.1637  3 Sn 3.63-3.72, 2 Cs 3.89
Cs 0.5000 0.5074 0.9136  2 Sn 3.67, 4 Cs 3.89-4.07
Cs 0.0000 0.8346 0.8363  3 Sn 3.63-3.72, 2 Cs 3.89
Sr 0.0000 0.0084 0.4642  5 Sn 3.48-3.57, 2 In 3.56
Sr 0.0000 0.5084 0.5358  5 Sn 3.48-3.57, 2 In 3.56
In 0.5000 0.1531 0.6548  4 Sn 3.04-3.18
In 0.5000 0.6531 0.3452  4 Sn 3.04-3.18
Sn 0.0000 0.2544 0.7796  2 In 3.05
Sn 0.5000 0.2877 0.4025  2 In 3.04-3.18
Sn 0.0000 0.7544 0.2204  2 In 3.05
Sn 0.5000 0.7877 0.5975  2 In 3.04-3.18

No. 6
Entry from Alexandria: an optimized crystal structure of Sc2AuCl (PBE-GGA).

Values from the calculation:
**Raw total energy**: -21.46 eV/f.u.
**Formation energy (no corrections)**: -0.92 eV/atom
**Total magnetization**: 0.10 Bohr magnetons per cell
**Excess energy over the best structure of this formula in the dataset**: 48 meV/atom

a b c (Å): 7.7177 7.7178 3.4147
angles (deg): 102.58 102.58 25.56
Closest atoms and distances in Å follow each position.
Atoms (fractional coordinates):
Au 0.4423 0.4423 0.4452  6 Sc 2.77-3.09
Cl 0.2132 0.2132 0.2115  5 Sc 2.62-2.80
Sc 0.0347 0.0347 0.0357  1 Cl 2.62, 4 Au 2.77
Sc 0.8098 0.8098 0.8077  4 Cl 2.80, 4 Au 3.09-3.11